Record 1
Compound: SmY3Te
Source: Alexandria via LeMat-Bulk
Functional: PBE
Structure: relaxed

```
SmY3Te
1.0
5.835 -4.658 0.000
5.835 4.658 0.000
-4.601 0.000 6.182
Sm Y Te
2 6 2
direct
0.066 0.066 0.366
0.934 0.934 0.634
0.048 0.423 0.213
0.423 0.048 0.213
0.443 0.443 0.689
0.557 0.557 0.311
0.577 0.952 0.787
0.952 0.577 0.787
0.264 0.264 0.890
0.736 0.736 0.110
```

## Properties
* energy: -5.804 eV/atom
* volume: 336.00 Å³/cell
* polymorph energy (0 for the lowest one): 0.10 eV per formula unit
* energy relative to the elements, uncorrected: -0.353 eV/atom

Record 2
Compound: HfNb2Pt
Source: Alexandria via LeMat-Bulk
Functional: PBE
Structure: relaxed

```
HfNb2Pt
1.0
0.000 3.296 3.296
3.296 0.000 3.296
3.296 3.296 0.000
Hf Nb Pt
1 2 1
direct
0.000 0.000 0.000
0.250 0.250 0.250
0.750 0.750 0.750
0.500 0.500 0.500
```

## Properties
* calculated formation energy: -0.20 eV/atom
* energy: -9.234 eV/atom
* volume: 71.61 Å³/cell
* polymorph energy (0 for the lowest one): 0.00 eV per formula unit

Record 3
Compound: In2AgCl
Source: Alexandria via LeMat-Bulk
Functional: PBE
Structure: relaxed

```
In2AgCl
1.0
1.888 1.090 8.230
-1.888 1.090 8.230
0.000 -2.180 8.230
In Ag Cl
2 1 1
direct
0.000 0.000 0.000
0.180 0.180 0.180
0.591 0.591 0.591
0.416 0.416 0.416
```

## Properties
* energy: -2.745 eV/atom
* volume: 101.63 Å³/cell
* polymorph energy (0 for the lowest one): 0.32 eV per formula unit
* energy relative to the elements, uncorrected: -0.202 eV/atom

Record 4
Compound: Sm3Cd3In2
Source: Alexandria via LeMat-Bulk
Functional: PBE
Structure: relaxed

```
Sm3Cd3In2
1.0
2.394 -5.742 0.000
2.394 5.742 0.000
0.000 0.000 15.827
Sm Cd In
6 6 4
direct
0.084 0.916 0.610
0.084 0.916 0.890
0.355 0.645 0.750
0.645 0.355 0.250
0.916 0.084 0.110
0.916 0.084 0.390
0.367 0.633 0.250
0.385 0.615 0.535
0.385 0.615 0.965
0.615 0.385 0.035
0.615 0.385 0.465
0.633 0.367 0.750
0.206 0.794 0.108
0.206 0.794 0.392
0.794 0.206 0.608
0.794 0.206 0.892
```

## Properties
* calculated formation energy: -0.36 eV/atom
* energy: -3.156 eV/atom
* volume: 435.02 Å³/cell

Record 5
Compound: Cs2YBeCl6
Source: Alexandria via LeMat-Bulk
Functional: PBE
Structure: relaxed

```
Cs2YBeCl6
1.0
-3.768 3.768 5.318
3.768 -3.768 5.318
3.768 3.768 -5.318
Cs Y Be Cl
2 1 1 6
direct
0.250 0.750 0.500
0.750 0.250 0.500
0.000 0.000 0.000
0.500 0.500 0.000
0.250 0.250 0.500
0.250 0.750 0.000
0.251 0.251 0.000
0.749 0.749 0.000
0.750 0.250 0.000
0.750 0.750 0.500
```

## Properties
* energy: -3.940 eV/atom
* volume: 302.06 Å³/cell
* energy relative to the elements, uncorrected: -1.642 eV/atom

Record 6
Compound: TiPdS2Cl
Source: Alexandria via LeMat-Bulk
Functional: PBE
Structure: relaxed

```
TiPdS2Cl
1.0
4.701 0.000 0.000
0.000 4.701 0.000
0.000 0.000 4.700
Ti Pd S Cl
1 1 2 1
direct
0.000 0.000 0.000
0.500 0.500 0.500
0.000 0.500 0.000
0.500 0.000 0.000
0.000 0.000 0.500
```

## Properties
* energy: -4.945 eV/atom
* volume: 103.88 Å³/cell
* polymorph energy (0 for the lowest one): 0.00 eV per formula unit
* energy relative to the elements, uncorrected: -0.307 eV/atom

Record 7
Compound: TaCd2Ag
Source: Alexandria via LeMat-Bulk
Functional: PBE
Structure: relaxed

```
TaCd2Ag
1.0
2.924 0.000 0.000
0.000 2.924 0.000
0.000 0.000 9.044
Ta Cd Ag
1 2 1
direct
0.000 0.000 0.000
0.000 0.000 0.481
0.500 0.500 0.754
0.500 0.500 0.237
```

## Properties
* calculated formation energy: 0.18 eV/atom
* energy: -3.950 eV/atom
* volume: 77.31 Å³/cell
* polymorph energy (0 for the lowest one): 0.14 eV per formula unit

Record 8
Compound: SrZnInNi
Source: Alexandria via LeMat-Bulk
Functional: PBE
Structure: relaxed

```
SrZnInNi
1.0
3.359 0.000 0.000
0.000 3.359 0.000
0.000 0.000 7.681
Sr Zn In Ni
1 1 1 1
direct
0.000 0.000 0.000
0.000 0.000 0.600
0.500 0.500 0.349
0.500 0.500 0.709
```

## Properties
* calculated formation energy: -0.06 eV/atom
* energy: -2.928 eV/atom
* volume: 86.68 Å³/cell
* polymorph energy (0 for the lowest one): 0.69 eV per formula unit

> Number 6 is which compound?

TiPdS2Cl

> Which value of volume does entry 3 give?

101.63 Å³/cell

> What is the formula in the first record?

SmY3Te

> The highest volume belongs to which entry?

Sm3Cd3In2